Entry 1:
Entry from the Alexandria database: a geometry-optimized BaCd4Ge structure (PBE).

Properties
Space-group type: Cmcm
ρ: 6.88 g/cm³
Spin magnetization: 0.000 μB/cell
Energy of formation from the pure elements: -0.20 eV/atom
D(E_F): 2.249 states/eV/f.u.

a = 9.121 Å, b = 9.121 Å, c = 7.637 Å
α = 90.00°, β = 90.00°, γ = 149.92°
Atoms (fractional coordinates):
Ba (0.128, 0.872, 0.750)
Ba (0.872, 0.128, 0.250)
Cd (0.066, 0.934, 0.250)
Cd (0.328, 0.672, 0.558)
Cd (0.328, 0.672, 0.942)
Cd (0.500, 0.500, 0.000)
Cd (0.500, 0.500, 0.500)
Cd (0.672, 0.328, 0.058)
Cd (0.672, 0.328, 0.442)
Cd (0.934, 0.066, 0.750)
Ge (0.230, 0.770, 0.250)
Ge (0.770, 0.230, 0.750)

=====

Entry 2:
Entry from the Alexandria database: a geometry-optimized Ba2CdGe10 structure (PBE).

Properties
Space-group type: Ama2
ρ: 5.58 g/cm³
Spin magnetization: 0.000 μB/cell
Energy of formation from the pure elements: -0.25 eV/atom
D(E_F): 0.593 states/eV/f.u.

a = 10.963 Å, b = 11.000 Å, c = 11.000 Å
α = 89.98°, β = 90.00°, γ = 90.00°
Atoms (fractional coordinates):
Ba (0.000, 0.000, 0.000)
Ba (0.250, 0.246, 0.509)
Ba (0.250, 0.505, 0.002)
Ba (0.250, 0.763, 0.522)
Ba (0.500, 0.000, 0.000)
Ba (0.750, 0.002, 0.505)
Ba (0.750, 0.509, 0.246)
Ba (0.750, 0.522, 0.763)
Cd (0.000, 0.505, 0.505)
Cd (0.250, 0.002, 0.253)
Cd (0.500, 0.505, 0.505)
Cd (0.750, 0.253, 0.002)
Ge (0.051, 0.003, 0.395)
Ge (0.062, 0.688, 0.182)
Ge (0.066, 0.691, 0.826)
Ge (0.067, 0.320, 0.186)
Ge (0.071, 0.315, 0.823)
Ge (0.076, 0.003, 0.629)
Ge (0.135, 0.503, 0.705)
Ge (0.135, 0.506, 0.305)
Ge (0.250, 0.174, 0.879)
Ge (0.250, 0.201, 0.112)
Ge (0.250, 0.805, 0.110)
Ge (0.250, 0.829, 0.878)
Ge (0.365, 0.503, 0.705)
Ge (0.365, 0.506, 0.305)
Ge (0.424, 0.003, 0.629)
Ge (0.429, 0.315, 0.823)
Ge (0.433, 0.320, 0.186)
Ge (0.434, 0.691, 0.826)
Ge (0.438, 0.688, 0.182)
Ge (0.449, 0.003, 0.395)
Ge (0.551, 0.395, 0.003)
Ge (0.562, 0.182, 0.688)
Ge (0.566, 0.826, 0.691)
Ge (0.567, 0.186, 0.320)
Ge (0.571, 0.823, 0.315)
Ge (0.576, 0.629, 0.003)
Ge (0.635, 0.305, 0.506)
Ge (0.635, 0.705, 0.503)
Ge (0.750, 0.110, 0.805)
Ge (0.750, 0.112, 0.201)
Ge (0.750, 0.878, 0.829)
Ge (0.750, 0.879, 0.174)
Ge (0.865, 0.305, 0.506)
Ge (0.865, 0.705, 0.503)
Ge (0.924, 0.629, 0.003)
Ge (0.929, 0.823, 0.315)
Ge (0.933, 0.186, 0.320)
Ge (0.934, 0.826, 0.691)
Ge (0.938, 0.182, 0.688)
Ge (0.949, 0.395, 0.003)

=====

Entry 3:
Entry from the Alexandria database: a geometry-optimized Ba3CdGe2 structure (PBE).

Properties
Space-group type: P2_1/c
ρ: 4.55 g/cm³
Spin magnetization: 0.000 μB/cell
Energy of formation from the pure elements: -0.43 eV/atom

a = 8.069 Å, b = 11.897 Å, c = 10.834 Å
α = 90.00°, β = 110.02°, γ = 90.00°
Atoms (fractional coordinates):
Ba (0.206, 0.227, 0.312)
Ba (0.206, 0.273, 0.812)
Ba (0.249, 0.561, 0.518)
Ba (0.249, 0.939, 0.018)
Ba (0.290, 0.521, 0.115)
Ba (0.290, 0.979, 0.615)
Ba (0.710, 0.021, 0.385)
Ba (0.710, 0.479, 0.885)
Ba (0.751, 0.061, 0.982)
Ba (0.751, 0.439, 0.482)
Ba (0.794, 0.727, 0.188)
Ba (0.794, 0.773, 0.688)
Cd (0.293, 0.681, 0.832)
Cd (0.293, 0.819, 0.332)
Cd (0.707, 0.181, 0.668)
Cd (0.707, 0.319, 0.168)
Ge (0.044, 0.534, 0.775)
Ge (0.044, 0.966, 0.275)
Ge (0.447, 0.185, 0.117)
Ge (0.447, 0.315, 0.617)
Ge (0.553, 0.685, 0.383)
Ge (0.553, 0.815, 0.883)
Ge (0.956, 0.034, 0.725)
Ge (0.956, 0.466, 0.225)

=====

Entry 4:
Entry from the Alexandria database: a geometry-optimized BaCd2Ge structure (PBE).

Properties
Space-group type: Cmcm
ρ: 6.56 g/cm³
Spin magnetization: 0.000 μB/cell
Energy of formation from the pure elements: -0.34 eV/atom
D(E_F): 0.461 states/eV/f.u.

a = 6.318 Å, b = 6.318 Å, c = 7.736 Å
α = 90.00°, β = 90.00°, γ = 134.51°
Atoms (fractional coordinates):
Ba (0.084, 0.916, 0.750)
Ba (0.916, 0.084, 0.250)
Cd (0.373, 0.627, 0.557)
Cd (0.373, 0.627, 0.943)
Cd (0.627, 0.373, 0.057)
Cd (0.627, 0.373, 0.443)
Ge (0.210, 0.790, 0.250)
Ge (0.790, 0.210, 0.750)